Density functional theory data (PBE) for crystalline YCdTc at its relaxed geometry.

Output
* spin magnetization: 0.31 μB per formula unit
* calculated density: 7.46 g/cm³
* distance to the lowest polymorph of the same formula: 0.63 eV/f.u.
* energy of formation: 0.373 eV/atom
* DFT total energy: -5.5418 eV per atom

abc: 3.3392 3.3392 6.9011
angles: 90.00 90.00 120.00
Space group P3m1 (No. 156)
Inequivalent atoms, fractional coordinates:
Y 0.0000 0.0000 0.0000 [1 per cell]
Cd 0.6667 0.3333 0.3953 [1 per cell]
Tc 0.3333 0.6667 0.7032 [1 per cell]

Density functional theory data (PBE) for crystalline CuHg2Os at its relaxed geometry.

Output
* spin magnetization: 0.00 μB per formula unit
* calculated density: 15.31 g/cm³
* distance to the lowest polymorph of the same formula: 0.31 eV/f.u.
* energy of formation: 0.673 eV/atom
* DFT total energy: -3.3092 eV per atom

abc: 2.9100 4.7905 10.1899
angles: 90.00 90.00 90.00
Space group Imm2 (No. 44)
Inequivalent atoms, fractional coordinates:
Cu 0.0000 0.0000 0.0000 [2 per cell]
Hg 0.0000 0.0000 0.5450 [2 per cell]
Hg 0.0000 0.5000 0.7668 [2 per cell]
Os 0.0000 0.5000 0.2932 [2 per cell]

Density functional theory data (PBE) for crystalline HoThCdHg at its relaxed geometry.

Output
* spin magnetization: 0.75 μB per formula unit
* calculated density: 10.83 g/cm³
* energy of formation: -0.227 eV/atom
* DFT total energy: -3.5310 eV per atom

abc: 7.5785 7.5785 7.5785
angles: 90.00 90.00 90.00
Space group F-43m (No. 216)
Inequivalent atoms, fractional coordinates:
Ho 0.0000 0.0000 0.0000 [4 per cell]
Th 0.0000 0.0000 0.5000 [4 per cell]
Cd 0.2500 0.2500 0.2500 [4 per cell]
Hg 0.2500 0.2500 0.7500 [4 per cell]